Entry from the Alexandria database: a relaxed structure of Nd6Ge2Pd (PBE).

Values from the calculation:
Total magnetization, μB/atom: 0.000
SG: P2_1/c
DFT total energy, eV/atom: -5.265

Geometry as POSCAR:
```
Nd6Ge2Pd
1.0
6.4311 0.0000 0.0000
0.0000 8.1623 0.0000
-6.3428 0.0000 10.1530
Nd Ge Pd
12 4 2
direct
0.0642 0.1849 0.4371
0.0642 0.3151 0.9371
0.2967 0.6658 0.4413
0.2967 0.8342 0.9413
0.3769 0.0388 0.2380
0.3769 0.4612 0.7380
0.6231 0.5388 0.2620
0.6231 0.9612 0.7620
0.7033 0.1658 0.0587
0.7033 0.3342 0.5587
0.9358 0.6849 0.0629
0.9358 0.8151 0.5629
0.1671 0.1194 0.7481
0.1671 0.3806 0.2481
0.8329 0.6194 0.7519
0.8329 0.8806 0.2519
0.5000 0.0000 0.5000
0.5000 0.5000 0.0000
```

---

Entry from the Alexandria database: a relaxed structure of NdGe2Pd6 (PBE).

Values from the calculation:
Total magnetization, μB/atom: 0.000
SG: P4/mmm
DFT total energy, eV/atom: -5.520

Geometry as POSCAR:
```
NdGe2Pd6
1.0
4.2729 0.0000 0.0000
0.0000 4.2729 0.0000
0.0000 0.0000 8.6298
Nd Ge Pd
1 2 6
direct
0.0000 0.0000 0.0000
0.5000 0.5000 0.1461
0.5000 0.5000 0.8539
0.0000 0.0000 0.5000
0.0000 0.5000 0.2885
0.0000 0.5000 0.7115
0.5000 0.0000 0.2885
0.5000 0.0000 0.7115
0.5000 0.5000 0.5000
```

---

Entry from the Alexandria database: a relaxed structure of Nd3Ge2Pd3 (PBE).

Values from the calculation:
Total magnetization, μB/atom: 0.000
SG: Pnma
DFT total energy, eV/atom: -5.752

Geometry as POSCAR:
```
Nd3Ge2Pd3
1.0
7.8005 0.0000 0.0000
0.0000 15.6170 0.0000
0.0000 0.0000 5.8308
Nd Ge Pd
12 8 12
direct
0.0274 0.1081 0.1421
0.0274 0.3919 0.1421
0.1630 0.2500 0.6308
0.3370 0.7500 0.1308
0.4726 0.6081 0.6421
0.4726 0.8919 0.6421
0.5274 0.1081 0.3579
0.5274 0.3919 0.3579
0.6630 0.2500 0.8692
0.8370 0.7500 0.3692
0.9726 0.6081 0.8579
0.9726 0.8919 0.8579
0.1220 0.6064 0.3540
0.1220 0.8936 0.3540
0.3780 0.1064 0.8540
0.3780 0.3936 0.8540
0.6220 0.6064 0.1460
0.6220 0.8936 0.1460
0.8780 0.1064 0.6460
0.8780 0.3936 0.6460
0.1729 0.0319 0.5925
0.1729 0.4681 0.5925
0.1929 0.7500 0.6233
0.3071 0.2500 0.1233
0.3271 0.5319 0.0925
0.3271 0.9681 0.0925
0.6729 0.0319 0.9075
0.6729 0.4681 0.9075
0.6929 0.7500 0.8767
0.8071 0.2500 0.3767
0.8271 0.5319 0.4075
0.8271 0.9681 0.4075
```